(i)
A geometry-optimized MgCr2W structure, computed with PBE.

Unit cell a=6.900 b=6.900 c=5.348 alpha=90.00 beta=90.00 gamma=90.00
Fractional positions:
Mg1 0.000 0.000 0.000
Mg2 0.000 0.500 0.250
Mg3 0.500 0.000 0.750
Mg4 0.500 0.500 0.500
Cr1 0.219 0.250 0.625
Cr2 0.250 0.719 0.875
Cr3 0.250 0.781 0.375
Cr4 0.281 0.250 0.125
Cr5 0.719 0.750 0.125
Cr6 0.750 0.219 0.375
Cr7 0.750 0.281 0.875
Cr8 0.781 0.750 0.625
W1 0.000 0.000 0.500
W2 0.000 0.500 0.750
W3 0.500 0.000 0.250
W4 0.500 0.500 0.000

Values from the calculation:
As for the symmetry: No. 122. Its size of the total moment is 0.014 μB/cell.

(ii)
A geometry-optimized MgCr2W structure, computed with PBE.

Unit cell a=5.412 b=8.563 c=2.596 alpha=90.00 beta=108.98 gamma=90.00
Fractional positions:
Mg1 0.000 0.000 0.000
Mg2 0.500 0.500 0.000
Cr1 0.250 0.250 0.500
Cr2 0.250 0.750 0.500
Cr3 0.750 0.250 0.500
Cr4 0.750 0.750 0.500
W1 0.000 0.500 0.000
W2 0.500 0.000 0.000

Values from the calculation:
As for the symmetry: No. 12. Its size of the total moment is 0.000 μB/cell.

We find (ii) to be the most stable, with the next structure 0.588 eV/atom higher.

(i)
A geometry-optimized ScBeTl structure, computed with PBE.

Unit cell a=6.085 b=4.344 c=8.469 alpha=90.00 beta=90.00 gamma=90.00
Fractional positions:
Sc1 0.167 0.250 0.076
Sc2 0.333 0.750 0.576
Sc3 0.667 0.250 0.424
Sc4 0.833 0.750 0.924
Be1 0.165 0.250 0.414
Be2 0.335 0.750 0.914
Be3 0.665 0.250 0.086
Be4 0.835 0.750 0.586
Tl1 0.018 0.250 0.711
Tl2 0.482 0.750 0.211
Tl3 0.518 0.250 0.789
Tl4 0.982 0.750 0.289

Values from the calculation:
As for the symmetry: No. 62. Its size of the total moment is 0.000 μB/cell.

(ii)
A geometry-optimized ScBeTl structure, computed with PBE.

Unit cell a=4.173 b=4.173 c=6.915 alpha=90.00 beta=90.00 gamma=90.00
Fractional positions:
Sc1 0.250 0.250 0.148
Sc2 0.750 0.750 0.852
Be1 0.250 0.250 0.760
Be2 0.750 0.750 0.240
Tl1 0.250 0.750 0.500
Tl2 0.750 0.250 0.500

Values from the calculation:
As for the symmetry: No. 129. Its size of the total moment is 0.000 μB/cell.

We find (i) to be the most stable, with the next structure 0.159 eV/atom higher.

(i)
A geometry-optimized MoOs2 structure, computed with PBE.

Unit cell a=5.946 b=5.946 c=5.946 alpha=90.00 beta=90.00 gamma=90.00
Fractional positions:
Mo1 0.000 0.000 0.000
Mo2 0.000 0.500 0.500
Mo3 0.500 0.000 0.500
Mo4 0.500 0.500 0.000
Os1 0.250 0.250 0.250
Os2 0.250 0.250 0.750
Os3 0.250 0.750 0.250
Os4 0.250 0.750 0.750
Os5 0.750 0.250 0.250
Os6 0.750 0.250 0.750
Os7 0.750 0.750 0.250
Os8 0.750 0.750 0.750

Values from the calculation:
As for the symmetry: No. 225. Its size of the total moment is 0.000 μB/cell.

(ii)
A geometry-optimized MoOs2 structure, computed with PBE.

Unit cell a=2.780 b=14.412 c=4.430 alpha=90.00 beta=90.00 gamma=90.00
Fractional positions:
Mo1 0.000 0.110 0.250
Mo2 0.000 0.890 0.750
Mo3 0.500 0.390 0.750
Mo4 0.500 0.610 0.250
Os1 0.000 0.222 0.750
Os2 0.000 0.442 0.250
Os3 0.000 0.558 0.750
Os4 0.000 0.778 0.250
Os5 0.500 0.058 0.750
Os6 0.500 0.278 0.250
Os7 0.500 0.722 0.750
Os8 0.500 0.942 0.250

Values from the calculation:
As for the symmetry: No. 63. Its size of the total moment is 0.000 μB/cell.

We find (ii) to be the most stable, with the next structure 0.735 eV/atom higher.